Here is a relaxed structure of Ac7Ag2Hg2 from Alexandria via LeMat-Bulk. Energies are from GGA-PBE.

Results
E_form: -0.0420 eV/atom
DFT total energy: -3.2298 eV/atom

Lattice parameters (Å, degrees): 7.446 8.133 7.446 90.00 110.41 90.00
Sites, in units of the cell vectors:
Ac 0.000 0.000 0.000
Ac 0.000 0.722 0.500
Ac 0.500 0.259 0.500
Ac 0.500 0.278 0.000
Ac 0.500 0.722 0.000
Ac 0.500 0.741 0.500
Ac 0.000 0.278 0.500
Ag 0.708 0.000 0.292
Ag 0.292 0.000 0.708
Hg 0.173 0.500 0.173
Hg 0.827 0.500 0.827